No. 1
VASP calculation (meta-GGA SCAN) on a PBEsol-optimized structure of LaP3H8O7.

Spin magnetization ... 0.00 μB/f.u.
Total energy ... -9.219 eV/atom

Lattice parameters (Å, degrees): 7.122 7.933 8.586 108.33 95.83 105.52
Atoms (fractional coordinates):
La 0.845 0.684 0.632
La 0.155 0.316 0.368
P 0.663 0.326 0.227
P 0.337 0.674 0.773
P 0.030 0.181 0.899
P 0.970 0.819 0.101
P 0.519 0.282 0.706
P 0.481 0.718 0.294
H 0.676 0.372 0.081
H 0.324 0.628 0.919
H 0.648 0.133 0.174
H 0.352 0.867 0.826
H 0.220 0.151 0.900
H 0.780 0.849 0.100
H 0.050 0.333 0.842
H 0.950 0.667 0.158
H 0.533 0.122 0.743
H 0.467 0.878 0.257
H 0.518 0.412 0.865
H 0.482 0.588 0.135
H 0.183 0.997 0.551
H 0.817 0.003 0.449
H 0.195 0.787 0.468
H 0.805 0.213 0.532
O 0.856 0.442 0.357
O 0.144 0.558 0.643
O 0.475 0.353 0.285
O 0.525 0.647 0.715
O 0.872 0.010 0.772
O 0.128 0.990 0.228
O 0.001 0.243 0.079
O 0.999 0.757 0.921
O 0.709 0.360 0.650
O 0.291 0.640 0.350
O 0.320 0.226 0.589
O 0.680 0.774 0.411
O 0.133 0.866 0.550
O 0.867 0.134 0.450



No. 2
VASP calculation (meta-GGA SCAN) on a PBEsol-optimized structure of Li2NiO2.

Spin magnetization ... 1.98 μB/f.u.
Total energy ... -8.424 eV/atom
Formation energy without anion corrections ... -1.741 eV/atom

Lattice parameters (Å, degrees): 3.102 3.102 4.917 90.00 90.00 120.00
Each line ends with the local moment (μB).
Atoms (fractional coordinates):
Ni 0.000 0.000 0.000  1.63
O 0.667 0.333 0.769  0.15
O 0.333 0.667 0.231  0.15
Li 0.333 0.667 0.648  0.01
Li 0.667 0.333 0.352  0.01



No. 3
VASP calculation (meta-GGA SCAN) on a PBEsol-optimized structure of Li2GaBiP.

Spin magnetization ... 0.00 μB/f.u.
Total energy ... -21.551 eV/atom
Formation energy from the elements ... 0.470 eV/atom

Lattice parameters (Å, degrees): 4.664 4.664 5.385 90.00 90.00 90.00
Atoms (fractional coordinates):
P 0.500 0.500 0.500
Bi 0.000 0.000 0.500
Ga 0.000 0.000 0.000
Li 0.000 0.500 0.000
Li 0.500 0.000 0.000



No. 4
VASP calculation (meta-GGA SCAN) on a PBEsol-optimized structure of Pr6MnSi2S14.

Spin magnetization ... 5.00 μB/f.u.
Total energy ... -20.735 eV/atom
Formation energy without anion corrections ... -1.908 eV/atom

Lattice parameters (Å, degrees): 5.658 10.138 10.138 120.00 90.00 90.00
Each line ends with the local moment (μB).
Atoms (fractional coordinates):
Pr 0.752 0.357 0.233  0.01
Pr 0.752 0.876 0.643  0.01
Pr 0.752 0.767 0.124  0.01
Pr 0.245 0.643 0.768  0.01
Pr 0.245 0.125 0.357  0.01
Pr 0.245 0.232 0.875  0.01
Mn 0.507 0.000 0.000  4.35
Si 0.169 0.667 0.333  0.00
Si 0.661 0.333 0.667  0.00
S 0.539 0.667 0.333  0.00
S 0.032 0.333 0.667  0.00
S 0.270 0.245 0.159  0.03
S 0.270 0.914 0.755  0.03
S 0.270 0.841 0.086  0.03
S 0.749 0.755 0.839  0.03
S 0.749 0.084 0.245  0.03
S 0.749 0.161 0.916  0.03
S 0.025 0.522 0.111  0.00
S 0.025 0.590 0.478  0.00
S 0.025 0.889 0.410  0.00
S 0.519 0.478 0.889  0.00
S 0.519 0.411 0.522  0.00
S 0.519 0.111 0.589  0.00



No. 5
VASP calculation (meta-GGA SCAN) on a PBEsol-optimized structure of ZrMn2HgOs.

Spin magnetization ... 8.52 μB/f.u.
Total energy ... -41.029 eV/atom
Formation energy from the elements ... 0.422 eV/atom

Lattice parameters (Å, degrees): 4.704 4.704 4.917 90.00 90.00 90.00
Each line ends with the local moment (μB).
Atoms (fractional coordinates):
Mn 0.000 0.500 0.000  4.12
Mn 0.500 0.000 0.000  4.12
Os 0.000 0.000 0.000  0.04
Hg 0.500 0.500 0.500  0.00
Zr 0.000 0.000 0.500  -0.09



No. 6
VASP calculation (meta-GGA SCAN) on a PBEsol-optimized structure of AgBrCl.

Spin magnetization ... 0.06 μB/f.u.
Total energy ... -19.900 eV/atom
Formation energy without anion corrections ... -0.298 eV/atom

Lattice parameters (Å, degrees): 3.711 3.919 6.200 81.85 72.58 61.74
Atoms (fractional coordinates):
Ag 0.996 0.000 0.009
Br 0.643 0.000 0.714
Cl 0.362 0.000 0.277